[1]
Material: SrLi2Mg4Cd
Method: DFT, PBE
State: relaxed

Computed properties:
The total magnetization comes out at 0.00 μB per formula unit. The calculation puts the formation energy at -0.038 eV per atom. The density comes out at 2489 kg/m³.

Cell and atoms, written as CIF:
```
data_SrLi2Mg4Cd
_chemical_formula_sum 'Sr3 Li6 Mg12 Cd3'
_cell_length_a 4.8897
_cell_length_b 4.8897
_cell_length_c 30.0762
_cell_angle_alpha 90.00
_cell_angle_beta 90.00
_cell_angle_gamma 120.00
_symmetry_space_group_name_H-M 'R -3 m'
_symmetry_Int_Tables_number 166
_symmetry_space_group_name_Hall '-R 3 2"'
loop_
_atom_site_label
_atom_site_fract_x
_atom_site_fract_y
_atom_site_fract_z
_atom_site_occupancy
Sr1 0.0000 0.0000 0.0000 1
Li1 0.0000 0.0000 0.2348 1
Mg1 0.0000 0.0000 0.1308 1
Mg2 0.0000 0.0000 0.4047 1
Cd1 0.0000 0.0000 0.5000 1
```


[2]
Material: Sr2Li3Mg12Cd
Method: DFT, PBE
State: relaxed

Computed properties:
The total magnetization comes out at 0.00 μB per formula unit. The calculation puts the formation energy at 0.037 eV per atom. The density comes out at 2120 kg/m³.

Cell and atoms, written as CIF:
```
data_Sr2Li3Mg12Cd
_chemical_formula_sum 'Sr6 Li9 Mg36 Cd3'
_cell_length_a 10.4849
_cell_length_b 10.4849
_cell_length_c 14.8098
_cell_angle_alpha 90.00
_cell_angle_beta 90.00
_cell_angle_gamma 120.00
_symmetry_space_group_name_H-M 'R -3 m'
_symmetry_Int_Tables_number 166
_symmetry_space_group_name_Hall '-R 3 2"'
loop_
_atom_site_label
_atom_site_fract_x
_atom_site_fract_y
_atom_site_fract_z
_atom_site_occupancy
Sr1 0.0000 0.0000 0.2425 1
Li1 0.0000 0.5000 0.5000 1
Mg1 0.0232 0.5116 0.7083 1
Mg2 0.0697 0.5349 0.0955 1
Cd1 0.0000 0.0000 0.0000 1
```